1.
Crystalline PmB2PbO6 at its relaxed geometry, computed with PBE.

Summary:
Raw formation energy: -226.42 kJ/mol of atoms
Spin magnetization: 0.00 Bohr magnetons per cell
Crystal system: monoclinic
SG: C2/c

abc: 6.5964 6.5964 6.7492
angles: 100.51 100.51 102.70
Fractional coordinates of all 20 atoms:
O (0.9581, 0.7977, 0.8810)
O (0.0419, 0.2023, 0.1190)
O (0.0511, 0.4726, 0.7606)
O (0.9489, 0.5274, 0.2394)
O (0.4781, 0.2924, 0.8867)
O (0.5274, 0.9489, 0.7394)
O (0.7977, 0.9581, 0.3810)
O (0.4726, 0.0511, 0.2606)
O (0.5219, 0.7076, 0.1133)
O (0.2924, 0.4781, 0.3867)
O (0.7076, 0.5219, 0.6133)
O (0.2023, 0.0419, 0.6190)
B (0.5935, 0.9048, 0.2497)
B (0.0952, 0.4065, 0.2503)
B (0.9048, 0.5935, 0.7497)
B (0.4065, 0.0952, 0.7503)
Pb (0.0963, 0.9037, 0.2500)
Pb (0.9037, 0.0963, 0.7500)
Pm (0.5875, 0.4125, 0.2500)
Pm (0.4125, 0.5875, 0.7500)


2.
Crystalline TcAu2 at its relaxed geometry, computed with PBE.

Summary:
Formation energy from the elements: 0.94 eV/f.u.
Spin magnetization: 0.00 Bohr magnetons per cell
Crystal system: tetragonal
SG: I4/mmm

abc: 6.7724 6.7724 6.7724
angles: 156.29 156.29 33.78
Fractional coordinates of all 3 atoms:
Au (0.9937, 0.9937, 0.0000)
Au (0.6730, 0.6730, 0.0000)
Tc (0.3333, 0.3333, 0.0000)


3.
Crystalline Tb3Al2Pd6 at its relaxed geometry, computed with PBE.

Summary:
Formation energy from the elements: -9.81 eV/f.u.
Spin magnetization: 0.00 Bohr magnetons per cell
Crystal system: cubic
SG: Im-3m

abc: 8.2233 8.2233 8.2233
angles: 109.47 109.47 109.47
Fractional coordinates of all 22 atoms:
Pd (0.6729, 0.3457, 0.6729)
Pd (0.6729, 0.3271, 0.0000)
Pd (0.6729, 0.0000, 0.3271)
Pd (0.3457, 0.6729, 0.6729)
Pd (0.6729, 0.6729, 0.3457)
Pd (0.3271, 0.0000, 0.6729)
Pd (0.0000, 0.6729, 0.3271)
Pd (0.6543, 0.3271, 0.3271)
Pd (0.3271, 0.6543, 0.3271)
Pd (0.3271, 0.6729, 0.0000)
Pd (0.0000, 0.3271, 0.6729)
Pd (0.3271, 0.3271, 0.6543)
Tb (0.7051, 0.0000, 0.7051)
Tb (0.2949, 0.0000, 0.2949)
Tb (0.0000, 0.7051, 0.7051)
Tb (0.2949, 0.2949, 0.0000)
Tb (0.0000, 0.2949, 0.2949)
Tb (0.7051, 0.7051, 0.0000)
Al (0.5000, 0.0000, 0.0000)
Al (0.0000, 0.0000, 0.5000)
Al (0.5000, 0.5000, 0.5000)
Al (0.0000, 0.5000, 0.0000)


4.
Crystalline CsSr3Se at its relaxed geometry, computed with PBE.

Summary:
Raw formation energy: 82.54 kJ/mol of atoms
Spin magnetization: 3.91 Bohr magnetons per cell
Crystal system: cubic
SG: Pm-3m

abc: 6.3751 6.3751 6.3751
angles: 90.00 90.00 90.00
Fractional coordinates of all 5 atoms:
Sr (0.0000, 0.0000, 0.5000)
Sr (0.5000, 0.0000, 0.0000)
Sr (0.0000, 0.5000, 0.0000)
Se (0.5000, 0.5000, 0.5000)
Cs (0.0000, 0.0000, 0.0000)


5.
Crystalline Nd5Si2Ag2 at its relaxed geometry, computed with PBE.

Summary:
Raw formation energy: -41.65 kJ/mol of atoms
Spin magnetization: 0.00 Bohr magnetons per cell
Crystal system: orthorhombic
SG: Cmce

abc: 7.7873 7.7528 8.9870
angles: 90.00 64.33 90.00
Fractional coordinates of all 18 atoms:
Nd (0.0000, 0.0000, 0.0000)
Nd (0.1876, 0.1789, 0.2604)
Nd (0.8124, 0.8211, 0.7396)
Nd (0.5520, 0.8211, 0.2604)
Nd (0.3124, 0.6789, 0.7396)
Nd (0.0520, 0.6789, 0.2604)
Nd (0.6876, 0.3211, 0.2604)
Nd (0.4480, 0.1789, 0.7396)
Nd (0.5000, 0.5000, 0.0000)
Nd (0.9480, 0.3211, 0.7396)
Ag (0.2154, 0.0000, 0.5692)
Ag (0.7154, 0.5000, 0.5692)
Ag (0.2846, 0.5000, 0.4308)
Ag (0.7846, 0.0000, 0.4308)
Si (0.6140, 0.1143, 0.0000)
Si (0.1140, 0.3857, 0.0000)
Si (0.3860, 0.8857, 0.0000)
Si (0.8860, 0.6143, 0.0000)


6.
Crystalline DyBe2Ir3 at its relaxed geometry, computed with PBE.

Summary:
Formation energy from the elements: -4.06 eV/f.u.
Spin magnetization: 0.00 Bohr magnetons per cell
Crystal system: hexagonal
SG: P6/mmm

abc: 3.4598 5.4178 5.4182
angles: 120.00 90.00 90.00
Fractional coordinates of all 6 atoms:
Dy (0.0000, 0.0012, 0.0000)
Ir (0.5000, 0.0012, 0.5000)
Ir (0.5000, 0.5013, 0.5000)
Ir (0.5000, 0.5013, 0.0000)
Be (0.0000, 0.6679, 0.3333)
Be (0.0000, 0.3346, 0.6667)


7.
Crystalline TbY3S4 at its relaxed geometry, computed with PBE.

Summary:
Raw formation energy: -192.03 kJ/mol of atoms
Spin magnetization: 0.00 Bohr magnetons per cell
Crystal system: cubic
SG: Pm-3m

abc: 5.5456 5.5456 5.5456
angles: 90.00 90.00 90.00
Fractional coordinates of all 8 atoms:
Y (0.0000, 0.5000, 0.5000)
Y (0.5000, 0.5000, 0.0000)
Y (0.5000, 0.0000, 0.5000)
Tb (0.0000, 0.0000, 0.0000)
S (0.5000, 0.5000, 0.5000)
S (0.0000, 0.0000, 0.5000)
S (0.0000, 0.5000, 0.0000)
S (0.5000, 0.0000, 0.0000)


8.
Crystalline ScMoPtCl2 at its relaxed geometry, computed with PBE.

Summary:
Raw formation energy: 67.91 kJ/mol of atoms
Spin magnetization: 2.15 Bohr magnetons per cell
Crystal system: tetragonal
SG: P4/mmm

abc: 4.8202 5.1486 4.8202
angles: 90.00 90.00 90.00
Fractional coordinates of all 5 atoms:
Sc (0.5000, 0.5000, 0.5000)
Cl (0.5000, 0.0000, 0.0000)
Cl (0.0000, 0.0000, 0.5000)
Mo (0.0000, 0.5000, 0.0000)
Pt (0.0000, 0.0000, 0.0000)


9.
Crystalline YScAu2 at its relaxed geometry, computed with PBE.

Summary:
Formation energy from the elements: -1.23 eV/f.u.
Spin magnetization: 1.07 Bohr magnetons per cell
Crystal system: trigonal
SG: R3m

abc: 9.1903 9.1903 9.1903
angles: 22.23 22.23 22.23
Fractional coordinates of all 4 atoms:
Y (0.7418, 0.7418, 0.7418)
Sc (0.5127, 0.5127, 0.5127)
Au (0.2497, 0.2497, 0.2497)
Au (0.9958, 0.9958, 0.9958)


10.
Crystalline Ca3BeCl at its relaxed geometry, computed with PBE.

Summary:
Raw formation energy: -16.16 kJ/mol of atoms
Spin magnetization: 0.00 Bohr magnetons per cell
Crystal system: cubic
SG: Pm-3m

abc: 5.5644 5.5644 5.5644
angles: 90.00 90.00 90.00
Fractional coordinates of all 5 atoms:
Be (0.0000, 0.0000, 0.0000)
Ca (0.0000, 0.0000, 0.5000)
Ca (0.5000, 0.0000, 0.0000)
Ca (0.0000, 0.5000, 0.0000)
Cl (0.5000, 0.5000, 0.5000)


11.
Crystalline ZrAg2Au at its relaxed geometry, computed with PBE.

Summary:
Formation energy from the elements: -0.73 eV/f.u.
Spin magnetization: 0.00 Bohr magnetons per cell
Crystal system: cubic
SG: F-43m

abc: 4.7425 4.7425 4.7425
angles: 60.00 60.00 60.00
Fractional coordinates of all 4 atoms:
Ag (0.2500, 0.2500, 0.2500)
Ag (0.0000, 0.0000, 0.0000)
Au (0.5000, 0.5000, 0.5000)
Zr (0.7500, 0.7500, 0.7500)


12.
Crystalline NdOs2W2 at its relaxed geometry, computed with PBE.

Summary:
Formation energy from the elements: -0.16 eV/f.u.
Spin magnetization: 0.00 Bohr magnetons per cell
Crystal system: tetragonal
SG: I4/mmm

abc: 4.3702 4.3702 6.1161
angles: 110.93 110.93 90.00
Fractional coordinates of all 5 atoms:
Os (0.3742, 0.3742, 0.7485)
Os (0.6258, 0.6258, 0.2515)
W (0.2500, 0.7500, 0.5000)
W (0.7500, 0.2500, 0.5000)
Nd (0.0000, 0.0000, 0.0000)


13.
Crystalline PmTcAs at its relaxed geometry, computed with PBE.

Summary:
Formation energy from the elements: -1.99 eV/f.u.
Spin magnetization: 0.00 Bohr magnetons per cell
Crystal system: tetragonal
SG: P4/nmm

abc: 4.1557 8.3218 7.2168
angles: 89.99 90.00 90.00
Fractional coordinates of all 12 atoms:
Pm (0.7500, 0.8749, 0.6704)
Pm (0.2500, 0.6251, 0.3296)
Pm (0.2500, 0.1251, 0.3296)
Pm (0.7500, 0.3749, 0.6704)
Tc (0.2500, 0.8751, 0.9998)
Tc (0.7500, 0.6249, 0.0002)
Tc (0.2500, 0.3751, 0.9998)
Tc (0.7500, 0.1249, 0.0002)
As (0.2500, 0.6251, 0.7939)
As (0.2500, 0.1251, 0.7939)
As (0.7500, 0.3749, 0.2061)
As (0.7500, 0.8749, 0.2061)


14.
Crystalline ScTlGe2 at its relaxed geometry, computed with PBE.

Summary:
Formation energy from the elements: 0.21 eV/f.u.
Spin magnetization: 0.00 Bohr magnetons per cell
Crystal system: tetragonal
SG: I-42d

abc: 7.6876 7.6876 6.2335
angles: 51.93 51.93 90.00
Fractional coordinates of all 8 atoms:
Tl (0.0000, 0.0000, 0.0000)
Tl (0.7500, 0.2500, 0.5000)
Ge (0.6286, 0.1250, 0.2500)
Ge (0.1214, 0.6250, 0.2500)
Ge (0.8750, 0.8786, 0.7500)
Ge (0.3750, 0.3714, 0.7500)
Sc (0.5000, 0.5000, 0.0000)
Sc (0.2500, 0.7500, 0.5000)


15.
Crystalline Sm6ZnNi2I3 at its relaxed geometry, computed with PBE.

Summary:
Raw formation energy: -58.39 kJ/mol of atoms
Spin magnetization: 0.00 Bohr magnetons per cell
Crystal system: monoclinic
SG: C2/m

abc: 7.1770 7.1770 8.2776
angles: 98.36 98.36 119.70
Fractional coordinates of all 12 atoms:
Sm (0.7059, 0.7059, 0.1878)
Sm (0.2941, 0.2941, 0.8122)
Sm (0.9336, 0.5780, 0.8069)
Sm (0.4220, 0.0664, 0.1931)
Sm (0.0664, 0.4220, 0.1931)
Sm (0.5780, 0.9336, 0.8069)
I (0.8388, 0.1612, 0.5000)
I (0.1612, 0.8388, 0.5000)
I (0.5000, 0.5000, 0.5000)
Ni (0.3311, 0.6689, 0.0000)
Ni (0.6689, 0.3311, 0.0000)
Zn (0.0000, 0.0000, 0.0000)


16.
Crystalline SbAs3Au at its relaxed geometry, computed with PBE.

Summary:
Raw formation energy: 8.32 kJ/mol of atoms
Spin magnetization: 0.00 Bohr magnetons per cell
Crystal system: triclinic
SG: P1

abc: 7.1351 6.5043 8.1528
angles: 65.26 50.36 61.86
Fractional coordinates of all 10 atoms:
As (0.4264, 0.8054, 0.1480)
As (0.0408, 0.3961, 0.9167)
As (0.5216, 0.1679, 0.4128)
As (0.2800, 0.8760, 0.7087)
As (0.7843, 0.6361, 0.2123)
As (0.9217, 0.1166, 0.6393)
Au (0.9469, 0.9896, 0.0877)
Au (0.4707, 0.4628, 0.5983)
Sb (0.2761, 0.2473, 0.2186)
Sb (0.7745, 0.7452, 0.7285)


17.
Crystalline Sc2SnO at its relaxed geometry, computed with PBE.

Summary:
Raw formation energy: -64.83 kJ/mol of atoms
Spin magnetization: 0.00 Bohr magnetons per cell
Crystal system: cubic
SG: Fm-3m

abc: 4.7536 4.7536 4.7536
angles: 60.00 60.00 60.00
Fractional coordinates of all 4 atoms:
Sc (0.7500, 0.7500, 0.7500)
Sc (0.2500, 0.2500, 0.2500)
Sn (0.5000, 0.5000, 0.5000)
O (0.0000, 0.0000, 0.0000)


18.
Crystalline RbCdAg3 at its relaxed geometry, computed with PBE.

Summary:
Formation energy from the elements: 1.15 eV/f.u.
Spin magnetization: 0.00 Bohr magnetons per cell
Crystal system: cubic
SG: Pm-3m

abc: 5.3987 5.3987 5.3987
angles: 90.00 90.00 90.00
Fractional coordinates of all 5 atoms:
Ag (0.5000, 0.0000, 0.0000)
Ag (0.0000, 0.0000, 0.5000)
Ag (0.0000, 0.5000, 0.0000)
Rb (0.5000, 0.5000, 0.5000)
Cd (0.0000, 0.0000, 0.0000)


19.
Crystalline BeNbRh at its relaxed geometry, computed with PBE.

Summary:
Formation energy from the elements: -1.22 eV/f.u.
Spin magnetization: 0.00 Bohr magnetons per cell
Crystal system: orthorhombic
SG: Immm

abc: 9.8006 5.3394 3.1016
angles: 90.00 90.00 90.00
Fractional coordinates of all 12 atoms:
Be (0.6084, 0.5000, 0.0000)
Be (0.3916, 0.5000, 0.0000)
Be (0.1084, 0.0000, 0.5000)
Be (0.8916, 0.0000, 0.5000)
Nb (0.1955, 0.5000, 0.5000)
Nb (0.8045, 0.5000, 0.5000)
Nb (0.3045, 0.0000, 0.0000)
Nb (0.6955, 0.0000, 0.0000)
Rh (0.5000, 0.7523, 0.5000)
Rh (0.0000, 0.7477, 0.0000)
Rh (0.5000, 0.2477, 0.5000)
Rh (0.0000, 0.2523, 0.0000)


20.
Crystalline CdCu2Br at its relaxed geometry, computed with PBE.

Summary:
Raw formation energy: 20.20 kJ/mol of atoms
Spin magnetization: 0.00 Bohr magnetons per cell
Crystal system: tetragonal
SG: P4/mmm

abc: 3.5081 3.5081 6.2239
angles: 90.00 90.00 90.00
Fractional coordinates of all 4 atoms:
Br (0.5000, 0.5000, 0.2500)
Cu (0.0000, 0.0000, 0.5553)
Cu (0.0000, 0.0000, 0.9447)
Cd (0.5000, 0.5000, 0.7500)